# 1
The following is a DFT calculation (PBE) of crystalline BaHoBe at its relaxed geometry.

abc: 7.322 7.322 7.322
angles: 90.00 90.00 90.00
Space group F-43m (No. 216)
Inequivalent atoms, fractional coordinates:
Ba 0.000 0.000 0.000 x4
Ho 0.000 0.000 0.500 x4
Be 0.250 0.250 0.250 x4

=====

# 2
The following is a DFT calculation (PBE) of crystalline Tb2YCo2B2P3 at its relaxed geometry.

abc: 3.878 3.878 21.865
angles: 90.00 90.00 90.00
Space group I4/mmm (No. 139)
Inequivalent atoms, fractional coordinates:
Tb 0.000 0.000 0.138 x4
Y 0.000 0.000 0.500 x2
Co 0.000 0.500 0.250 x4
B 0.000 0.000 0.285 x4
P 0.000 0.000 0.000 x2
P 0.000 0.000 0.375 x4

=====

# 3
The following is a DFT calculation (PBE) of crystalline K3TbSi2O7 at its relaxed geometry.

abc: 9.8741 9.8741 14.3529
angles: 90.00 90.00 120.00
Space group P6_3/mcm (No. 193)
Inequivalent atoms, fractional coordinates:
K 0.0000 0.0000 0.0000 x2
K 0.0000 0.3315 0.0916 x12
K 0.3333 0.6667 0.2500 x4
Tb 0.0000 0.0000 0.2500 x2
Tb 0.3333 0.6667 0.0000 x4
Si 0.0000 0.3413 0.6429 x12
O 0.0000 0.1763 0.6470 x12
O 0.0000 0.4095 0.7500 x6
O 0.1564 0.4771 0.5920 x24

=====

# 4
The following is a DFT calculation (PBE) of crystalline InPd at its relaxed geometry.

abc: 3.287 3.287 3.287
angles: 90.00 90.00 90.00
Space group Pm-3m (No. 221)
Inequivalent atoms, fractional coordinates:
In 0.000 0.000 0.000 x1
Pd 0.500 0.500 0.500 x1

=====

# 5
The following is a DFT calculation (PBE) of crystalline ScCoHgBi at its relaxed geometry.

abc: 6.815 6.815 6.815
angles: 90.00 90.00 90.00
Space group F-43m (No. 216)
Inequivalent atoms, fractional coordinates:
Sc 0.000 0.000 0.000 x4
Co 0.000 0.000 0.500 x4
Hg 0.250 0.250 0.750 x4
Bi 0.250 0.250 0.250 x4

=====

# 6
The following is a DFT calculation (PBE) of crystalline Cs2LiAuF6 at its relaxed geometry.

abc: 5.963 5.965 8.339
angles: 90.00 90.00 89.60
Space group P1 (No. 1)
Inequivalent atoms, fractional coordinates:
Cs 0.000 0.000 0.000 x1
Cs 0.000 0.000 0.498 x1
Cs 0.500 0.500 0.498 x1
Cs 0.500 0.501 0.000 x1
Li 0.000 0.501 0.749 x1
Li 0.500 0.000 0.249 x1
Au 0.000 0.500 0.249 x1
Au 0.500 0.001 0.749 x1
F 0.002 0.501 0.998 x1
F 0.241 0.251 0.748 x1
F 0.241 0.730 0.747 x1
F 0.255 0.778 0.251 x1
F 0.268 0.252 0.250 x1
F 0.498 0.001 0.997 x1
F 0.502 0.001 0.501 x1
F 0.731 0.747 0.249 x1
F 0.744 0.221 0.247 x1
F 0.759 0.272 0.751 x1
F 0.760 0.752 0.750 x1
F 0.998 0.499 0.500 x1

=====

# 7
The following is a DFT calculation (PBE) of crystalline Al9Re4 at its relaxed geometry.

abc: 4.9293 4.9293 27.3000
angles: 90.00 90.00 120.00
Space group R-3m (No. 166, hexagonal axes)
Inequivalent atoms, fractional coordinates:
Al 0.0000 0.0000 0.0000 x3
Al 0.0000 0.0000 0.1667 x6
Al 0.0026 0.5013 0.4097 x18
Re 0.0000 0.0000 0.3443 x6
Re 0.0000 0.0000 0.4545 x6

=====

# 8
The following is a DFT calculation (PBE) of crystalline BeReGe at its relaxed geometry.

abc: 5.722 5.722 5.722
angles: 90.00 90.00 90.00
Space group F-43m (No. 216)
Inequivalent atoms, fractional coordinates:
Be 0.000 0.000 0.000 x4
Re 0.250 0.250 0.250 x4
Ge 0.000 0.000 0.500 x4

=====

# 9
The following is a DFT calculation (PBE) of crystalline PrNdNi2 at its relaxed geometry.

abc: 5.562 3.535 10.105
angles: 90.00 90.00 90.00
Space group Amm2 (No. 38)
Inequivalent atoms, fractional coordinates:
Pr 0.000 0.000 0.000 x2
Nd 0.500 0.000 0.296 x2
Ni 0.000 0.000 0.284 x2
Ni 0.500 0.000 0.012 x2

**ΔE_f**: 41.0 kJ/mol of formula units

=====

# 10
The following is a DFT calculation (PBE) of crystalline NbTlNiAg at its relaxed geometry.

abc: 6.534 6.534 6.534
angles: 90.00 90.00 90.00
Space group F-43m (No. 216)
Inequivalent atoms, fractional coordinates:
Nb 0.000 0.000 0.000 x4
Tl 0.250 0.250 0.250 x4
Ni 0.000 0.000 0.500 x4
Ag 0.250 0.250 0.750 x4

=====

# 11
The following is a DFT calculation (PBE) of crystalline Rb4Re6S13 at its relaxed geometry.

abc: 9.876 16.784 14.053
angles: 90.00 99.79 90.00
Space group C2/c (No. 15)
Inequivalent atoms, fractional coordinates:
Rb 0.225 0.030 0.336 x8
Rb 0.233 0.362 0.383 x8
Re 0.124 0.221 0.077 x8
Re 0.136 0.208 0.892 x8
Re 0.164 0.349 0.978 x8
S 0.000 0.139 0.750 x4
S 0.048 0.190 0.323 x8
S 0.051 0.276 0.549 x8
S 0.056 0.482 0.945 x8
S 0.106 0.094 0.993 x8
S 0.155 0.351 0.148 x8
S 0.182 0.329 0.810 x8

=====

# 12
The following is a DFT calculation (PBE) of crystalline Al3GaPd4 at its relaxed geometry.

abc: 6.9566 6.9566 8.5237
angles: 90.00 90.00 120.00
Space group R3 (No. 146, hexagonal axes)
Inequivalent atoms, fractional coordinates:
Al 0.0413 0.2696 0.0000 x9
Ga 0.0000 0.0000 0.5406 x3
Pd 0.0000 0.0000 0.2367 x3
Pd 0.0970 0.6938 0.4344 x9

=====

no.,electronic total energy (eV/cell)
1,-33.594
2,-136.839
3,-531.537
4,-8.911
5,-70.453
6,-76.299
7,-246.516
8,-75.446
9,-40.496
10,-76.224
11,-598.942
12,-125.269